Density functional theory data (PBE) for Sm3HoHg after structural relaxation.

The structure in CIF format:
```
data_Sm3HoHg
_space_group_name_H-M_alt 'C 1 2/m 1'
_space_group_IT_number 12
_cell_length_a 29.908
_cell_length_b 3.715
_cell_length_c 5.557
_cell_angle_alpha 90.00
_cell_angle_beta 90.14
_cell_angle_gamma 90.00
loop_
_space_group_symop_operation_xyz
'x,y,z'
'-x,-y,-z'
'-x,y,-z'
'x,-y,z'
'x+1/2,y+1/2,z'
'-x+1/2,-y+1/2,-z'
'-x+1/2,y+1/2,-z'
'x+1/2,-y+1/2,z'
loop_
_atom_site_label
_atom_site_type_symbol
_atom_site_fract_x
_atom_site_fract_y
_atom_site_fract_z
Sm1 Sm 0.049 0.000 0.244
Sm2 Sm 0.129 0.000 0.748
Sm3 Sm 0.162 0.500 0.249
Ho1 Ho 0.233 0.500 0.750
Hg1 Hg 0.041 0.500 0.742
```

Values from the calculation:
ρ	8.78	Mg/m³
energy of formation from the pure elements	-0.18	eV per atom
VASP energy	-19.945	eV/f.u.
relative energy among the computed polymorphs	0.000	eV per atom
DOS(E_F)	1.273	states/eV per atom